# 1
## Pr2Br3Cl (GGA-PBE)

Data for an optimized crystal structure of Pr2Br3Cl.

Cell: 16.9809 4.0894 12.9414 Å, 90.00 120.78 90.00°
Space group C2/m (No. 12)
Unique sites:
Pr (0.0982, 0.0000, 0.4543) x4
Pr (0.1594, 0.5000, 0.8794) x4
Br (0.0504, 0.5000, 0.2582) x4
Br (0.1385, 0.0000, 0.0376) x4
Br (0.2382, 0.5000, 0.6095) x4
Cl (0.1043, 0.0000, 0.6883) x4

## Properties
V ... 32.171 Å³/atom
Uncorrected formation energy ... -1.711 eV per atom
Total DFT energy (no corrections) ... -106.760 eV per cell

# 2
## Er3MnTl4S8 (GGA-PBE)

Data for an optimized crystal structure of Er3MnTl4S8.

Cell: 7.8395 7.8395 22.3719 Å, 90.00 90.00 120.00°
Space group R-3m (No. 166, hexagonal axes)
Unique sites:
Er (0.0000, 0.5000, 0.0000) x9
Mn (0.0000, 0.0000, 0.0000) x3
Tl (0.0000, 0.0000, 0.5000) x3
Tl (0.0000, 0.5000, 0.5000) x9
S (0.0000, 0.0000, 0.2669) x6
S (0.0175, 0.5087, 0.7304) x18

## Properties
V ... 24.807 Å³/atom
Uncorrected formation energy ... -1.194 eV per atom
Total DFT energy (no corrections) ... -253.337 eV per cell

# 3
## Na2Tl3Cl2F4 (GGA-PBE)

Data for an optimized crystal structure of Na2Tl3Cl2F4.

Cell: 4.3923 4.3923 24.1078 Å, 90.00 90.00 90.00°
Space group I4/mmm (No. 139)
Unique sites:
Na (0.0000, 0.0000, 0.0798) x4
Tl (0.0000, 0.0000, 0.3269) x4
Tl (0.0000, 0.0000, 0.5000) x2
Cl (0.0000, 0.0000, 0.1962) x4
F (0.0000, 0.5000, 0.0572) x8

## Properties
V ... 21.141 Å³/atom
Uncorrected formation energy ... -1.784 eV per atom
Total DFT energy (no corrections) ... -81.080 eV per cell

# 4
## RbCdF3 (GGA-PBE)

Data for an optimized crystal structure of RbCdF3.

Cell: 14.9363 3.5258 8.1500 Å, 90.00 101.84 90.00°
Space group C2/m (No. 12)
Unique sites:
Rb (0.1277, 0.0000, 0.3659) x4
Cd (0.1505, 0.5000, 0.8591) x4
F (0.0547, 0.0000, 0.7754) x4
F (0.1855, 0.5000, 0.6121) x4
F (0.1876, 0.0000, 0.0538) x4

## Properties
V ... 21.003 Å³/atom
Uncorrected formation energy ... -2.344 eV per atom
Total DFT energy (no corrections) ... -76.864 eV per cell

# 5
## AcMn3Si2 (GGA-PBE)

Data for an optimized crystal structure of AcMn3Si2.

Cell: 14.4444 4.0331 7.5483 Å, 90.00 112.88 90.00°
Space group C2/m (No. 12)
Unique sites:
Ac (0.1564, 0.0000, 0.0757) x4
Mn (0.0269, 0.0000, 0.3693) x4
Mn (0.0769, 0.5000, 0.6248) x4
Mn (0.1833, 0.5000, 0.4570) x4
Si (0.0201, 0.5000, 0.1868) x4
Si (0.1757, 0.0000, 0.6510) x4

## Properties
V ... 16.881 Å³/atom
Uncorrected formation energy ... -0.329 eV per atom
Total DFT energy (no corrections) ... -177.746 eV per cell

# 6
## Th3N2 (GGA-PBE)

Data for an optimized crystal structure of Th3N2.

Cell: 6.3253 6.3253 17.8578 Å, 90.00 90.00 120.00°
Space group R-3c (No. 167, hexagonal axes)
Unique sites:
Th (0.0000, 0.3282, 0.2500) x18
N (0.0000, 0.0000, 0.1629) x12

## Properties
V ... 20.625 Å³/atom
Uncorrected formation energy ... -1.116 eV per atom
Total DFT energy (no corrections) ... -266.940 eV per cell

# 7
## Pm2CdSiO6 (GGA-PBE)

Data for an optimized crystal structure of Pm2CdSiO6.

Cell: 5.3142 5.3142 4.9016 Å, 90.00 90.00 90.00°
Space group P4mm (No. 99)
Unique sites:
Pm (0.0000, 0.5000, 0.0000) x2
Cd (0.0000, 0.0000, 0.5427) x1
Si (0.5000, 0.5000, 0.6034) x1
O (0.0000, 0.0000, 0.1086) x1
O (0.2777, 0.2777, 0.7182) x4
O (0.5000, 0.5000, 0.2611) x1

## Properties
V ... 13.843 Å³/atom
Uncorrected formation energy ... -2.616 eV per atom
Total DFT energy (no corrections) ... -71.754 eV per cell

# 8
## Tl8I3BrCl4 (GGA-PBE)

Data for an optimized crystal structure of Tl8I3BrCl4.

Cell: 9.5470 9.5470 23.4132 Å, 90.00 90.00 120.00°
Space group R-3m (No. 166, hexagonal axes)
Unique sites:
Tl (0.0000, 0.0000, 0.2408) x6
Tl (0.0068, 0.5034, 0.7571) x18
I (0.0000, 0.5000, 0.0000) x9
Br (0.0000, 0.0000, 0.0000) x3
Cl (0.0000, 0.0000, 0.5000) x3
Cl (0.0000, 0.5000, 0.5000) x9

## Properties
V ... 38.501 Å³/atom
Uncorrected formation energy ... -0.857 eV per atom
Total DFT energy (no corrections) ... -139.053 eV per cell

# 9
## CaCr2AgP (GGA-PBE)

Data for an optimized crystal structure of CaCr2AgP.

Cell: 4.3524 4.3524 5.1153 Å, 90.00 90.00 90.00°
Space group P4/mmm (No. 123)
Unique sites:
Ca (0.0000, 0.0000, 0.0000) x1
Cr (0.0000, 0.5000, 0.0000) x2
Ag (0.0000, 0.0000, 0.5000) x1
P (0.5000, 0.5000, 0.5000) x1

## Properties
V ... 19.380 Å³/atom
Total DFT energy (no corrections) ... -17.305 eV per cell
E_form ... 12.20 eV/f.u.

# 10
## K2AlBr (GGA-PBE)

Data for an optimized crystal structure of K2AlBr.

Cell: 6.1286 6.1286 3.8104 Å, 90.00 90.00 90.00°
Space group P4/mmm (No. 123)
Unique sites:
K (0.0000, 0.5000, 0.0000) x2
Al (0.0000, 0.0000, 0.5000) x1
Br (0.5000, 0.5000, 0.5000) x1

## Properties
V ... 35.779 Å³/atom
Uncorrected formation energy ... -0.359 eV per atom
Total DFT energy (no corrections) ... -9.046 eV per cell
Excess energy over the best structure of this formula in the dataset ... 159 meV per atom

# 11
## La2CuW (GGA-PBE)

Data for an optimized crystal structure of La2CuW.

Cell: 4.3872 4.3872 19.9364 Å, 90.00 90.00 90.00°
Space group I-42d (No. 122)
Unique sites:
La (0.2440, 0.2500, 0.1250) x8
Cu (0.0000, 0.0000, 0.5000) x4
W (0.0000, 0.0000, 0.0000) x4

## Properties
V ... 23.983 Å³/atom
Total DFT energy (no corrections) ... -90.846 eV per cell
Excess energy over the best structure of this formula in the dataset ... 691 meV per atom
E_form ... 4.19 eV/f.u.

# 12
## PrEuTm2 (GGA-PBE)

Data for an optimized crystal structure of PrEuTm2.

Cell: 8.1464 8.1464 8.1464 Å, 90.00 90.00 90.00°
Space group Fm-3m (No. 225)
Unique sites:
Pr (0.0000, 0.0000, 0.0000) x4
Eu (0.0000, 0.0000, 0.5000) x4
Tm (0.2500, 0.2500, 0.2500) x8

## Properties
V ... 33.789 Å³/atom
Total DFT energy (no corrections) ... -93.785 eV per cell
Excess energy over the best structure of this formula in the dataset ... 73 meV per atom
E_form ... 0.55 eV/f.u.